5
Lattice="5.6832 0.0000 0.0000 0.0000 5.6832 0.0000 0.0000 0.0000 5.6832" Properties=species:S:1:pos:R:3 comment="IBr3O (PBE, optimized geometry)" total_energy_ha_per_atom=-0.058 dos_ef_per_ev_cell=15.79 de_polymorph_ev_per_atom=0.038 raw_formation_energy_ev_per_atom=0.72 pbc="T T T"
I 0.0000 0.0000 0.0000
Br 0.0000 0.0000 2.8416
Br 0.0000 2.8416 0.0000
Br 2.8416 0.0000 0.0000
O 2.8416 2.8416 2.8416

***

11
Lattice="6.8186 -3.9148 0.0000 6.8186 3.9148 0.0000 -3.3886 0.0000 8.9460" Properties=species:S:1:pos:R:3 comment="Mo2BrCl8 (PBE, optimized geometry)" total_energy_ha_per_atom=-0.155 dos_ef_per_ev_cell=9.53 raw_formation_energy_ev_per_atom=-0.74 pbc="T T T"
Mo 0.4287 0.0000 2.6364
Mo 9.8198 0.0000 6.3096
Br 0.0000 0.0000 0.0000
Cl 0.7757 0.0000 4.8968
Cl 4.1248 1.9712 6.2383
Cl 2.6289 0.0000 2.1818
Cl 6.1237 1.9712 2.7077
Cl 4.1248 -1.9712 6.2383
Cl 7.6197 0.0000 6.7642
Cl 6.1237 -1.9712 2.7077
Cl 9.4729 0.0000 4.0491

***

14
Lattice="3.9990 2.3088 8.5416 -3.9990 2.3088 8.5416 0.0000 -4.6177 8.5416" Properties=species:S:1:pos:R:3 comment="Cs2LiU3S8 (PBE, optimized geometry)" total_energy_ha_per_atom=-0.236 dos_ef_per_ev_cell=14.89 raw_formation_energy_ev_per_atom=-1.39 pbc="T T T"
Cs 0.0000 0.0000 0.0000
Cs 0.0000 0.0000 9.0537
Li 0.0000 0.0000 21.5770
U 0.0000 -2.2920 13.3123
U -1.9849 1.1460 13.3123
U 1.9849 1.1460 13.3123
S 0.0000 -2.1925 6.1675
S -1.8988 1.0963 6.1675
S 0.0000 0.0000 3.3705
S -1.9008 -1.0974 11.8940
S 1.8988 1.0963 6.1675
S 0.0000 0.0000 14.7579
S 1.9008 -1.0974 11.8940
S 0.0000 2.1948 11.8940

***

5
Lattice="5.2181 0.0000 0.0000 0.0000 5.2181 0.0000 0.0000 0.0000 5.2181" Properties=species:S:1:pos:R:3 comment="YTe3Ru (PBE, optimized geometry)" total_energy_ha_per_atom=-0.187 dos_ef_per_ev_cell=6.12 de_polymorph_ev_per_atom=0.000 raw_formation_energy_ev_per_atom=-0.04 pbc="T T T"
Y 0.0000 0.0000 0.0000
Te 0.0000 2.6090 2.6090
Te 2.6090 0.0000 2.6090
Te 2.6090 2.6090 0.0000
Ru 2.6090 2.6090 2.6090

***

10
Lattice="3.4329 -14.8838 0.0000 3.4329 14.8838 0.0000 0.0000 0.0000 3.5352" Properties=species:S:1:pos:R:3 comment="La2Pr7Ho (PBE, optimized geometry)" total_energy_ha_per_atom=-0.171 dos_ef_per_ev_cell=15.55 pbc="T T T"
La 3.4329 8.8241 0.0000
La 3.4329 -8.8241 0.0000
Pr 0.0000 0.0000 0.0000
Pr 1.7663 2.9182 0.0000
Pr 3.4329 5.6317 1.7676
Pr 1.7663 -2.9182 0.0000
Pr 5.0996 2.9182 0.0000
Pr 3.4329 -5.6317 1.7676
Pr 5.0996 -2.9182 0.0000
Ho 3.4329 0.0000 1.7676

***

20
Lattice="8.6073 0.0000 0.0000 0.0000 6.2318 0.0000 -3.5419 0.0000 8.2359" Properties=species:S:1:pos:R:3 comment="Pm3RuO (PBE, optimized geometry)" total_energy_ha_per_atom=-0.251 dos_ef_per_ev_cell=19.58 de_polymorph_ev_per_atom=0.000 raw_formation_energy_ev_per_atom=-1.13 pbc="T T T"
Pm -0.5921 0.5369 2.8960
Pm -2.3631 2.5790 7.0140
Pm -0.1915 3.7069 4.5663
Pm 1.5794 5.6407 0.4483
Pm 0.4845 0.6638 6.3314
Pm 2.2555 2.4521 2.2134
Pm 2.8098 3.7797 6.0226
Pm 4.5808 5.5679 1.9046
Pm 3.4859 0.5911 7.7876
Pm 5.2569 2.5248 3.6697
Pm 7.4284 3.6528 1.2219
Pm 5.6574 5.6948 5.3399
Ru 0.2902 4.0136 7.5063
Ru 2.0612 5.3341 3.3883
Ru 3.0041 0.8977 4.8476
Ru 4.7751 2.2182 0.7297
O -1.5068 1.4765 4.9568
O 0.2641 1.6393 0.8389
O 4.8012 4.5924 7.3971
O 6.5722 4.7552 3.2791

***

8
Lattice="-3.3175 3.3175 4.4164 3.3175 -3.3175 4.4164 3.3175 3.3175 -4.4164" Properties=species:S:1:pos:R:3 comment="Ag2AsSe (PBE, optimized geometry)" total_energy_ha_per_atom=-0.117 dos_ef_per_ev_cell=4.15 raw_formation_energy_ev_per_atom=0.28 pbc="T T T"
Ag 4.9762 1.6208 -1.1041
Ag 1.6208 1.6587 1.1041
Ag -1.6587 1.6967 3.3123
Ag 1.6967 1.6587 5.5205
As 0.0000 0.0000 0.0000
As 0.0000 3.3175 2.2082
Se 3.3175 0.0000 2.2082
Se 0.0000 0.0000 4.4164

***

4
Lattice="-1.7686 1.8109 6.5739 1.7686 -1.8109 6.5739 1.7686 1.8109 -6.5739" Properties=species:S:1:pos:R:3 comment="YTaAs2 (PBE, optimized geometry)" total_energy_ha_per_atom=-0.280 dos_ef_per_ev_cell=3.01 de_polymorph_ev_per_atom=0.100 pbc="T T T"
Y 0.0000 0.0000 0.0000
Ta 0.0000 1.8109 3.2669
As 1.7686 0.0000 4.2972
As 0.0000 0.0000 7.9458

***

Number 1: total magnetic moment 1.91 μB/f.u.. Number 2: total magnetic moment 3.00 μB/f.u.. Number 3: total magnetic moment 5.00 μB/f.u.. Number 4: total magnetic moment 0.00 μB/f.u.. Number 5: total magnetic moment 0.00 μB/f.u.. Number 6: total magnetic moment 0.00 μB/f.u.. Number 7: total magnetic moment 0.00 μB/f.u.. Number 8: total magnetic moment 0.00 μB/f.u..